VASP calculation (GGA-PBE) on Ho2Al8Ga after structural relaxation.

Results
**Formation energy**: -222.2 kJ/mol of formula units
**N(E_F)**: 4.19 states/eV per cell
**SG**: P4/mmm (123)

Cell lengths 4.2924, 4.2924, 11.5380 Å; angles 90.00, 90.00, 90.00 degrees
Fractional coordinates of all 11 atoms:
Ho 0.0000 0.0000 0.1825
Ho 0.0000 0.0000 0.8175
Al 0.0000 0.5000 0.0000
Al 0.0000 0.5000 0.3683
Al 0.0000 0.5000 0.6317
Al 0.5000 0.0000 0.0000
Al 0.5000 0.0000 0.3683
Al 0.5000 0.0000 0.6317
Al 0.5000 0.5000 0.1869
Al 0.5000 0.5000 0.8131
Ga 0.0000 0.0000 0.5000

---

VASP calculation (GGA-PBE) on Nd8Dy3Th2 after structural relaxation.

Results
**Formation energy**: 167.3 kJ/mol of formula units
**N(E_F)**: 36.01 states/eV per cell
**SG**: P2_1/c (14)

Cell lengths 6.7920, 22.0787, 6.6714 Å; angles 90.00, 116.58, 90.00 degrees
Fractional coordinates of all 26 atoms:
Nd 0.0845 0.0664 0.1442
Nd 0.0845 0.4336 0.6442
Nd 0.1315 0.1168 0.6406
Nd 0.1315 0.3832 0.1406
Nd 0.3651 0.2152 0.3827
Nd 0.3651 0.2848 0.8827
Nd 0.3847 0.6459 0.3993
Nd 0.3847 0.8541 0.8993
Nd 0.6153 0.1459 0.1007
Nd 0.6153 0.3541 0.6007
Nd 0.6349 0.7152 0.1173
Nd 0.6349 0.7848 0.6173
Nd 0.8685 0.6168 0.8594
Nd 0.8685 0.8832 0.3594
Nd 0.9155 0.5664 0.3558
Nd 0.9155 0.9336 0.8558
Dy 0.1218 0.7208 0.6501
Dy 0.1218 0.7792 0.1501
Dy 0.5000 0.0000 0.0000
Dy 0.5000 0.5000 0.5000
Dy 0.8782 0.2208 0.8499
Dy 0.8782 0.2792 0.3499
Th 0.3703 0.5677 0.9199
Th 0.3703 0.9323 0.4199
Th 0.6297 0.0677 0.5801
Th 0.6297 0.4323 0.0801

---

VASP calculation (GGA-PBE) on DySn3Cl9 after structural relaxation.

Results
**Formation energy (no corrections)**: -1.361 eV per atom
**N(E_F)**: 0.00 states/eV per cell
**SG**: Cc (9)

Cell lengths 10.8661, 10.8661, 11.3031 Å; angles 120.94, 120.94, 51.07 degrees
Fractional coordinates of all 26 atoms:
Dy 0.1866 0.8134 0.5000
Dy 0.8134 0.1866 0.0000
Sn 0.1284 0.2642 0.4558
Sn 0.2642 0.1284 0.9558
Sn 0.3305 0.5054 0.0516
Sn 0.5054 0.3305 0.5516
Sn 0.7383 0.7823 0.2946
Sn 0.7823 0.7383 0.7946
Cl 0.0026 0.5268 0.9404
Cl 0.1041 0.1911 0.1128
Cl 0.1374 0.5688 0.3978
Cl 0.1715 0.8982 0.7579
Cl 0.1911 0.1041 0.6128
Cl 0.2609 0.7674 0.2845
Cl 0.3282 0.4226 0.6967
Cl 0.4226 0.3282 0.1967
Cl 0.5053 0.6188 0.6113
Cl 0.5268 0.0026 0.4404
Cl 0.5475 0.8807 0.0555
Cl 0.5688 0.1374 0.8978
Cl 0.6188 0.5053 0.1113
Cl 0.7674 0.2609 0.7845
Cl 0.8537 0.9846 0.4022
Cl 0.8807 0.5475 0.5555
Cl 0.8982 0.1715 0.2579
Cl 0.9846 0.8537 0.9022

---

VASP calculation (GGA-PBE) on Sm3RuO7 after structural relaxation.

Results
**Formation energy (no corrections)**: -2.672 eV per atom
**N(E_F)**: 0.59 states/eV per cell
**SG**: Cmcm (63)

Cell lengths 6.5520, 6.5520, 7.5377 Å; angles 90.00, 90.00, 68.99 degrees
Fractional coordinates of all 22 atoms:
Sm 0.0000 0.0000 0.0000
Sm 0.0000 0.0000 0.5000
Sm 0.0800 0.4756 0.7500
Sm 0.4756 0.0800 0.2500
Sm 0.5244 0.9200 0.7500
Sm 0.9200 0.5244 0.2500
Ru 0.5000 0.5000 0.0000
Ru 0.5000 0.5000 0.5000
O 0.1072 0.1572 0.2500
O 0.1572 0.1072 0.7500
O 0.1853 0.5611 0.0389
O 0.1853 0.5611 0.4611
O 0.4150 0.5850 0.7500
O 0.4389 0.8147 0.0389
O 0.4389 0.8147 0.4611
O 0.5611 0.1853 0.5389
O 0.5611 0.1853 0.9611
O 0.5850 0.4150 0.2500
O 0.8147 0.4389 0.5389
O 0.8147 0.4389 0.9611
O 0.8428 0.8928 0.2500
O 0.8928 0.8428 0.7500

---

VASP calculation (GGA-PBE) on ZrAlRh after structural relaxation.

Results
**Formation energy**: -236.4 kJ/mol of formula units
**N(E_F)**: 4.82 states/eV per cell
**SG**: Imma (74)

Cell lengths 5.1809, 5.1809, 5.1809 Å; angles 119.30, 116.69, 93.53 degrees
Fractional coordinates of all 6 atoms:
Zr 0.3826 0.1326 0.2500
Zr 0.6174 0.8674 0.7500
Al 0.0000 0.0000 0.5000
Al 0.0000 0.5000 0.0000
Rh 0.0000 0.5000 0.5000
Rh 0.5000 0.5000 0.0000

---

VASP calculation (GGA-PBE) on Y3Hg after structural relaxation.

Results
**Formation energy**: -39.8 kJ/mol of formula units
**N(E_F)**: 10.29 states/eV per cell
**SG**: Cmcm (63)

Cell lengths 6.6936, 6.6936, 5.4743 Å; angles 90.00, 90.00, 75.35 degrees
Fractional coordinates of all 8 atoms:
Y 0.0780 0.3234 0.7500
Y 0.2125 0.7875 0.7500
Y 0.3234 0.0780 0.2500
Y 0.6766 0.9220 0.7500
Y 0.7875 0.2125 0.2500
Y 0.9220 0.6766 0.2500
Hg 0.4008 0.5992 0.2500
Hg 0.5992 0.4008 0.7500

---

The lowest N(E_F) belongs to which entry?
DySn3Cl9

---

Look up the N(E_F) of the first one.
4.19 states/eV per cell